Entry 1:
DFT (PBE) results for AgIr after structural relaxation.

Lattice parameters (Å, degrees): 2.792 2.792 8.282 90.00 90.00 90.00
Positions (direct):
Ir  0.250  0.250  0.605
Ir  0.750  0.750  0.395
Ag  0.250  0.250  0.134
Ag  0.750  0.750  0.866

**Total magnetization**: 0.00 μB per cell
**Symmetry**: P4/nmm, No. 129
**Total energy**: -5.66 eV/atom
**Formation enthalpy at 0 K**: 0.20 eV per atom



Entry 2:
DFT (PBE) results for AgIr2 after structural relaxation.

Lattice parameters (Å, degrees): 2.767 2.767 6.992 90.00 90.00 120.00
Positions (direct):
Ir  0.333  0.667  0.653
Ir  0.667  0.333  0.347
Ag  0.000  0.000  0.000

**Total magnetization**: 0.00 μB per cell
**Symmetry**: P-3m1, No. 164
**Total energy**: -6.62 eV/atom
**Formation enthalpy at 0 K**: 0.23 eV per atom



Entry 3:
DFT (PBE) results for Ag4Ir3 after structural relaxation.

Lattice parameters (Å, degrees): 14.947 14.947 14.947 169.34 169.34 15.10
Last column: magnetic moment on the atom in μB.
Positions (direct):
Ag  0.147  0.147  0.000  0.00
Ag  0.428  0.428  0.000  0.01
Ag  0.572  0.572  0.000  0.01
Ag  0.853  0.853  0.000  0.00
Ir  0.000  0.000  0.000  0.42
Ir  0.280  0.280  0.000  0.00
Ir  0.720  0.720  0.000  0.00

**Total magnetization**: 0.42 μB per cell
**Symmetry**: I4/mmm, No. 139
**Total energy**: -5.15 eV/atom
**Formation enthalpy at 0 K**: 0.28 eV per atom



Entry 4:
DFT (PBE) results for AgIr2 after structural relaxation.

Lattice parameters (Å, degrees): 4.982 4.982 4.982 141.36 141.36 55.79
Positions (direct):
Ir  0.318  0.318  0.000
Ir  0.682  0.682  0.000
Ag  0.000  0.000  0.000

**Total magnetization**: 0.00 μB per cell
**Symmetry**: I4/mmm, No. 139
**Total energy**: -6.28 eV/atom
**Formation enthalpy at 0 K**: 0.58 eV per atom



Entry 5:
DFT (PBE) results for Ag7Ir after structural relaxation.

Lattice parameters (Å, degrees): 5.809 5.809 5.809 60.00 60.00 60.00
Positions (direct):
Ag  0.500  0.000  0.000
Ag  0.000  0.000  0.500
Ag  0.500  0.000  0.500
Ag  0.000  0.500  0.000
Ag  0.500  0.500  0.000
Ag  0.000  0.500  0.500
Ag  0.500  0.500  0.500
Ir  0.000  0.000  0.000

**Total magnetization**: 0.00 μB per cell
**Symmetry**: Fm-3m, No. 225
**Total energy**: -3.41 eV/atom
**Formation enthalpy at 0 K**: 0.20 eV per atom



Entry 6:
DFT (PBE) results for Ag2Ir after structural relaxation.

Lattice parameters (Å, degrees): 2.637 4.251 19.827 90.00 90.00 90.00
Positions (direct):
Ir  0.000  0.250  0.613
Ir  0.000  0.750  0.387
Ir  0.500  0.250  0.887
Ir  0.500  0.750  0.113
Ag  0.000  0.250  0.042
Ag  0.000  0.250  0.186
Ag  0.000  0.750  0.814
Ag  0.000  0.750  0.958
Ag  0.500  0.250  0.314
Ag  0.500  0.250  0.458
Ag  0.500  0.750  0.542
Ag  0.500  0.750  0.686

**Total magnetization**: 0.00 μB per cell
**Symmetry**: Imma, No. 74
**Total energy**: -4.22 eV/atom
**Formation enthalpy at 0 K**: 0.63 eV per atom